Density functional theory data (PBE-GGA) for La2CuRe after structural relaxation.

The crystal system is tetragonal. As for the energy relative to the lowest polymorph listed for this composition: 0.0066 eV/atom. The formation energy comes out at 155 meV per atom.

abc: 3.564 3.564 7.534
angles: 90.00 90.00 90.00
Positions (direct):
La  0.000  0.000  0.233
La  0.000  0.000  0.767
Cu  0.500  0.500  0.500
Re  0.500  0.500  0.000

=====

Density functional theory data (PBE-GGA) for MgCuGe3 after structural relaxation.

The crystal system is cubic. As for the energy relative to the lowest polymorph listed for this composition: 0.0000 eV/atom. The formation energy comes out at 373 meV per atom.

abc: 4.761 4.761 4.761
angles: 90.00 90.00 90.00
Positions (direct):
Mg  0.000  0.000  0.000
Cu  0.500  0.500  0.500
Ge  0.000  0.500  0.500
Ge  0.500  0.000  0.500
Ge  0.500  0.500  0.000